A plane-wave DFT calculation with PBE was carried out for an optimized crystal structure of Ba3Bi2SbAu6.

SG = P-3m1, No. 164
uncorrected energy = -3.617 eV per atom

Cell lengths 6.7009, 6.7009, 9.3264 Å; angles 90.00, 90.00, 120.00 degrees
Closest atoms and distances in Å follow each position.
Atoms (fractional coordinates):
Ba (0.0000, 0.0000, 0.0000)  6 Au 3.44
Ba (0.3333, 0.6667, 0.6301)  9 Au 3.42-3.61
Au (0.1767, 0.8233, 0.2962)  1 Sb 2.80, 1 Bi 2.86
Au (0.1767, 0.3535, 0.2962)  1 Sb 2.80, 1 Bi 2.86
Bi (0.3333, 0.6667, 0.0591)  3 Au 2.86
Ba (0.6667, 0.3333, 0.3699)  9 Au 3.42-3.61
Au (0.3535, 0.1767, 0.7038)  1 Sb 2.80, 1 Bi 2.86
Sb (0.0000, 0.0000, 0.5000)  6 Au 2.80
Au (0.8233, 0.6465, 0.7038)  1 Sb 2.80, 1 Bi 2.86
Au (0.8233, 0.1767, 0.7038)  1 Sb 2.80, 1 Bi 2.86
Bi (0.6667, 0.3333, 0.9409)  3 Au 2.86
Au (0.6465, 0.8233, 0.2962)  1 Sb 2.80, 1 Bi 2.86